Y2TaRe PBE-GGA relaxed; crystal system = orthorhombic; energy relative to the lowest polymorph listed for this composition = 303 meV per atom; formation energy from the elements = 130 kJ/mol of formula units
1.0
-1.757 2.327 5.337
1.757 -2.327 5.337
1.757 2.327 -5.337
Y Ta Re
2 1 1
Direct
0.212 0.212 0.000
0.788 0.788 0.000
0.500 0.000 0.500
0.000 0.500 0.500

SbHPt6Pb2 PBE-GGA relaxed; crystal system = monoclinic; E = -5.19 eV per atom
1.0
4.956 -2.863 0.000
4.956 2.863 0.000
-3.308 0.000 6.568
Sb H Pt Pb
1 1 6 2
Direct
0.000 0.000 0.000
0.500 0.500 0.500
0.227 0.728 0.681
0.272 0.272 0.322
0.272 0.773 0.319
0.728 0.227 0.681
0.728 0.728 0.678
0.773 0.272 0.319
0.261 0.261 0.782
0.739 0.739 0.218

ZrI3O PBE-GGA relaxed; crystal system = cubic; energy relative to the elements, uncorrected = 0.1616 eV/atom
1.0
5.678 0.000 0.000
0.000 5.678 0.000
0.000 0.000 5.678
Zr I O
1 3 1
Direct
0.000 0.000 0.000
0.000 0.000 0.500
0.000 0.500 0.000
0.500 0.000 0.000
0.500 0.500 0.500

MgP2PdF PBE-GGA relaxed; crystal system = tetragonal; energy relative to the elements, uncorrected = -0.1463 eV/atom
1.0
4.696 0.000 0.000
0.000 4.696 0.000
0.000 0.000 4.201
Mg P Pd F
1 2 1 1
Direct
0.000 0.000 0.000
0.000 0.500 0.500
0.500 0.000 0.500
0.500 0.500 0.500
0.500 0.500 0.000

MgH2O PBE-GGA relaxed; crystal system = monoclinic; energy relative to the lowest polymorph listed for this composition = 20 meV per atom
1.0
2.008 -2.010 0.000
2.008 2.010 0.000
-1.217 0.000 5.749
Mg H O
1 2 1
Direct
0.000 0.000 0.000
0.093 0.093 0.539
0.917 0.917 0.463
0.500 0.500 0.000

Th2SnSb PBE-GGA relaxed; crystal system = tetragonal; energy relative to the lowest polymorph listed for this composition = 69 meV per atom; energy relative to the elements, uncorrected = -0.6420 eV/atom
1.0
5.763 0.000 0.000
0.000 5.763 0.000
0.000 0.000 3.465
Th Sn Sb
2 1 1
Direct
0.000 0.500 0.000
0.500 0.000 0.000
0.000 0.000 0.500
0.500 0.500 0.500

UI2Br2 PBE-GGA relaxed; crystal system = orthorhombic; energy relative to the elements, uncorrected = -1.0357 eV/atom
1.0
4.865 -5.374 0.000
4.865 5.374 0.000
0.000 0.000 4.447
U I Br
1 2 2
Direct
0.000 0.000 0.000
0.199 0.801 0.500
0.801 0.199 0.500
0.275 0.275 0.000
0.725 0.725 0.000

ZnHg2Pb2 PBE-GGA relaxed; crystal system = tetragonal; energy relative to the lowest polymorph listed for this composition = 130 meV per atom; formation energy from the elements = 93 kJ/mol of formula units
1.0
-2.010 2.010 8.884
2.010 -2.010 8.884
2.010 2.010 -8.884
Zn Hg Pb
1 2 2
Direct
0.000 0.000 0.000
0.250 0.750 0.500
0.750 0.250 0.500
0.406 0.406 0.000
0.594 0.594 0.000

UMnNiPt PBE-GGA relaxed; crystal system = cubic; formation energy from the elements = -72 kJ/mol of formula units
1.0
0.000 3.153 3.153
3.153 0.000 3.153
3.153 3.153 0.000
U Mn Ni Pt
1 1 1 1
Direct
0.000 0.000 0.000
0.250 0.250 0.250
0.750 0.750 0.750
0.500 0.500 0.500

TlV2Rh2 PBE-GGA relaxed; crystal system = tetragonal; energy relative to the lowest polymorph listed for this composition = 83 meV per atom; formation energy from the elements = 3 kJ/mol of formula units
1.0
7.549 0.000 0.000
0.000 7.549 0.000
0.000 0.000 2.823
Tl V Rh
2 4 4
Direct
0.000 0.000 0.000
0.500 0.500 0.000
0.151 0.349 0.000
0.349 0.849 0.000
0.651 0.151 0.000
0.849 0.651 0.000
0.137 0.637 0.500
0.363 0.137 0.500
0.637 0.863 0.500
0.863 0.363 0.500

RbCo2AgBr8 PBE-GGA relaxed; crystal system = trigonal; energy relative to the elements, uncorrected = -0.5319 eV/atom
1.0
6.824 0.000 0.000
-3.412 5.910 0.000
0.000 0.000 9.819
Rb Co Ag Br
1 2 1 8
Direct
0.000 0.000 0.000
0.333 0.667 0.748
0.667 0.333 0.252
0.000 0.000 0.500
0.009 0.338 0.675
0.328 0.991 0.675
0.333 0.667 0.985
0.338 0.328 0.325
0.662 0.672 0.675
0.667 0.333 0.015
0.672 0.009 0.325
0.991 0.662 0.325

Zr3SN3 PBE-GGA relaxed; crystal system = trigonal; energy relative to the elements, uncorrected = -1.5180 eV/atom
1.0
3.155 1.821 6.391
-3.155 1.821 6.391
0.000 -3.643 6.391
Zr S N
6 2 6
Direct
0.062 0.739 0.404
0.261 0.596 0.938
0.404 0.062 0.739
0.596 0.938 0.261
0.739 0.404 0.062
0.938 0.261 0.596
0.167 0.167 0.167
0.833 0.833 0.833
0.059 0.375 0.706
0.294 0.941 0.625
0.375 0.706 0.059
0.625 0.294 0.941
0.706 0.059 0.375
0.941 0.625 0.294

no.,D(E_F) (states/eV/f.u.)
1,3.6
2,5.9
3,38.3
4,2.6
5,0.0
6,1.9
7,3.8
8,2.0
9,7.1
10,4.7
11,11.8
12,1.5